i) This record from Alexandria via LeMat-Bulk describes a geometry-optimized Zr2ScTl structure. The functional is PBE.

a b c (Å): 5.6692 5.6692 5.3841
angles (deg): 80.69 80.69 33.03
Atoms (fractional coordinates):
Sc: 0.7500 0.7500 0.7500
Tl: 0.2500 0.2500 0.2500
Zr: 0.9908 0.9908 0.0032
Zr: 0.5092 0.5092 0.4968

ρ = 7713 kg/m³
size of the total moment = 0.000 μB per formula unit

---

ii) This record from Alexandria via LeMat-Bulk describes a geometry-optimized Zr2ScTl structure. The functional is PBE.

a b c (Å): 3.1921 3.1920 9.1963
angles (deg): 90.00 90.00 90.00
Atoms (fractional coordinates):
Sc: 0.0000 0.0000 0.4983
Tl: 0.5000 0.5000 0.7480
Zr: 0.0000 0.0000 0.0032
Zr: 0.5000 0.5000 0.2505

ρ = 7652 kg/m³
size of the total moment = 0.000 μB per formula unit

---

iii) This record from Alexandria via LeMat-Bulk describes a geometry-optimized Zr2ScTl structure. The functional is PBE.

a b c (Å): 10.5820 10.5820 10.5820
angles (deg): 17.70 17.70 17.70
Atoms (fractional coordinates):
Sc: 0.2500 0.2500 0.2500
Tl: 0.7500 0.7500 0.7500
Zr: 0.9997 0.9997 0.9997
Zr: 0.5003 0.5003 0.5003

ρ = 7497 kg/m³
size of the total moment = 1.003 μB per formula unit

---

Most stable = ii)

---

i) This record from Alexandria via LeMat-Bulk describes a geometry-optimized Zr2ScTl structure. The functional is PBE.

a b c (Å): 3.1649 3.1649 9.3537
angles (deg): 90.00 90.00 90.05
Atoms (fractional coordinates):
Sc: 0.5000 0.5000 0.2500
Tl: 0.5000 0.5000 0.7500
Zr: 0.0000 0.0000 0.0020
Zr: 0.0000 0.0000 0.4980

ρ = 7653 kg/m³
size of the total moment = 0.000 μB per formula unit

---

ii) This record from Alexandria via LeMat-Bulk describes a geometry-optimized Zr2ScTl structure. The functional is PBE.

a b c (Å): 5.6935 5.6935 5.6935
angles (deg): 135.01 135.01 65.51
Atoms (fractional coordinates):
Sc: 0.2500 0.7500 0.5000
Tl: 0.7500 0.2500 0.5000
Zr: 0.0000 0.0000 0.0000
Zr: 0.5000 0.5000 0.0000

ρ = 7890 kg/m³
size of the total moment = 0.000 μB per formula unit

---

iii) This record from Alexandria via LeMat-Bulk describes a geometry-optimized Zr2ScTl structure. The functional is PBE.

a b c (Å): 10.3477 10.3477 10.3477
angles (deg): 18.35 18.35 18.35
Atoms (fractional coordinates):
Sc: 0.5007 0.5007 0.5007
Tl: 0.7502 0.7502 0.7502
Zr: 0.9987 0.9987 0.9987
Zr: 0.2504 0.2504 0.2504

ρ = 7474 kg/m³
size of the total moment = 0.000 μB per formula unit

---

Most stable = ii)

---

i) This record from Alexandria via LeMat-Bulk describes a geometry-optimized ZrScTl structure. The functional is PBE.

a b c (Å): 4.8552 4.8552 4.8552
angles (deg): 60.00 60.00 60.00
Atoms (fractional coordinates):
Sc: 0.5000 0.5000 0.5000
Tl: 0.7500 0.7500 0.7500
Zr: 0.0000 0.0000 0.0000

ρ = 6988 kg/m³
size of the total moment = 1.072 μB per formula unit

---

ii) This record from Alexandria via LeMat-Bulk describes a geometry-optimized ZrScTl structure. The functional is PBE.

a b c (Å): 5.0857 5.0857 6.1239
angles (deg): 90.00 90.00 120.00
Atoms (fractional coordinates):
Zr: 0.0000 0.5000 0.0000
Zr: 0.0000 0.5000 0.5000
Sc: 0.3332 0.1668 0.7500
Sc: 0.6668 0.8332 0.2500
Tl: 0.6666 0.8334 0.7500
Tl: 0.3334 0.1666 0.2500

ρ = 8246 kg/m³
size of the total moment = 0.622 μB per formula unit

---

iii) This record from Alexandria via LeMat-Bulk describes a geometry-optimized ZrScTl structure. The functional is PBE.

a b c (Å): 5.7022 5.7022 5.7022
angles (deg): 145.92 137.78 55.33
Atoms (fractional coordinates):
Sc: 0.0029 0.0029 0.0000
Tl: 0.6642 0.6642 0.0000
Zr: 0.3329 0.3329 0.0000

ρ = 8158 kg/m³
size of the total moment = 0.404 μB per formula unit

---

Most stable = ii)

---

i) This record from Alexandria via LeMat-Bulk describes a geometry-optimized ZrScTl structure. The functional is PBE.

a b c (Å): 3.2892 3.2892 13.0966
angles (deg): 89.99 90.01 90.00
Atoms (fractional coordinates):
Zr: 0.2500 0.7500 0.0835
Zr: 0.7500 0.2500 0.9165
Sc: 0.7500 0.2500 0.5873
Sc: 0.2500 0.7500 0.4127
Tl: 0.7500 0.2500 0.2524
Tl: 0.2500 0.7500 0.7476

ρ = 7982 kg/m³
size of the total moment = 0.000 μB per formula unit

---

ii) This record from Alexandria via LeMat-Bulk describes a geometry-optimized ZrScTl structure. The functional is PBE.

a b c (Å): 3.3213 3.3213 7.6129
angles (deg): 90.00 90.00 120.00
Atoms (fractional coordinates):
Sc: 0.0000 0.0000 0.9945
Tl: 0.6667 0.3333 0.3323
Zr: 0.3333 0.6667 0.6733

ρ = 7776 kg/m³
size of the total moment = 0.000 μB per formula unit

---

Most stable = i)